A geometry-optimized Mg2ZnCu structure, computed with PBE. Values from VASP.

Structure (Quantum ESPRESSO input):
```
&SYSTEM
  ibrav = 0, nat = 4, ntyp = 3
/
ATOMIC_SPECIES
Cu 63.55 Cu.upf
Mg 24.30 Mg.upf
Zn 65.41 Zn.upf
CELL_PARAMETERS angstrom
3.1712 0.0000 0.0000
0.0000 4.5873 0.0000
0.0000 0.0000 4.5873
ATOMIC_POSITIONS angstrom
Cu 1.5856 0.0000 0.0000
Mg 0.0000 0.0000 2.2936
Mg 0.0000 2.2936 0.0000
Zn 1.5856 2.2936 2.2936
```

Values from the calculation:
- formation energy (eV/atom) = -0.087
- E (eV/cell) = -8.91
- symmetry = P4/mmm
- M_tot (μB/f.u.) = 0.0

A geometry-optimized RbMgCuO2 structure, computed with PBE. Values from VASP.

Structure (Quantum ESPRESSO input):
```
&SYSTEM
  ibrav = 0, nat = 10, ntyp = 4
/
ATOMIC_SPECIES
Cu 63.55 Cu.upf
O 16.00 O.upf
Mg 24.30 Mg.upf
Rb 85.47 Rb.upf
CELL_PARAMETERS angstrom
5.0107 0.0000 0.0000
0.0000 5.5911 0.0000
0.0000 -2.7956 6.0956
ATOMIC_POSITIONS angstrom
Cu 0.0000 2.7956 0.0000
Cu 0.0000 0.0000 0.0000
O 1.5224 0.0000 5.0201
O 1.5224 0.0000 1.0755
O 3.4883 2.7956 5.0201
O 3.4883 2.7956 1.0755
Mg 2.5053 1.3978 0.0000
Mg 2.5053 4.1933 0.0000
Rb 3.7778 0.0000 3.0478
Rb 1.2329 2.7956 3.0478
```

Values from the calculation:
- energy relative to the elements, uncorrected (meV/atom) = -1520.4
- E (eV/cell) = -48.35
- symmetry = Cmme
- M_tot (μB/f.u.) = 0.0

A geometry-optimized Tb16Nd7Dy6 structure, computed with PBE. Values from VASP.

Structure (Quantum ESPRESSO input):
```
&SYSTEM
  ibrav = 0, nat = 29, ntyp = 3
/
ATOMIC_SPECIES
Nd 144.24 Nd.upf
Tb 158.93 Tb.upf
Dy 162.50 Dy.upf
CELL_PARAMETERS angstrom
9.7318 0.0000 5.6187
3.2439 9.1752 5.6187
0.0000 0.0000 11.2373
ATOMIC_POSITIONS angstrom
Nd 4.8659 0.0000 2.8093
Nd 0.0000 0.0000 0.0000
Nd 1.6220 4.5876 8.4280
Nd 1.6220 4.5876 2.8093
Nd 6.4879 4.5876 5.6187
Nd 0.0000 0.0000 5.6187
Nd 4.8659 0.0000 8.4280
Tb 11.3270 8.0094 14.0930
Tb 8.4453 5.9717 7.8469
Tb 11.3270 8.0094 19.6189
Tb 6.4343 1.1658 5.6187
Tb 6.5415 8.0094 16.8560
Tb 1.6488 1.1659 8.3816
Tb 9.7318 3.4976 16.8560
Tb 8.4453 5.9717 14.6277
Tb 6.4879 8.7400 11.2373
Tb 10.4028 3.2035 11.2373
Tb 2.5729 5.9717 11.2373
Tb 4.5304 3.2035 7.8469
Tb 6.4879 0.4352 11.2373
Tb 3.2439 5.6777 5.6187
Tb 4.5304 3.2035 14.6278
Tb 1.6488 1.1658 2.8557
Dy 4.9562 6.7537 8.5844
Dy 9.5512 6.7537 11.2373
Dy 8.0195 2.4215 8.5844
Dy 4.9562 6.7537 13.8902
Dy 8.0195 2.4215 13.8902
Dy 3.4246 2.4215 11.2373
```

Values from the calculation:
- formation energy (eV/atom) = 0.253
- E (eV/cell) = -127.73
- symmetry = Fm-3m
- M_tot (μB/f.u.) = 0.0

A geometry-optimized Sb2MoSI structure, computed with PBE. Values from VASP.

Structure (Quantum ESPRESSO input):
```
&SYSTEM
  ibrav = 0, nat = 5, ntyp = 4
/
ATOMIC_SPECIES
Sb 121.76 Sb.upf
Mo 95.94 Mo.upf
S 32.06 S.upf
I 126.90 I.upf
CELL_PARAMETERS angstrom
5.2619 0.0000 0.0000
0.0000 5.2619 0.0000
0.0000 0.0000 5.1945
ATOMIC_POSITIONS angstrom
Sb 2.6310 0.0000 0.0000
Sb 0.0000 2.6310 0.0000
Mo 0.0000 0.0000 0.0000
S 2.6310 2.6310 2.5972
I 0.0000 0.0000 2.5972
```

Values from the calculation:
- energy relative to the lowest polymorph listed for this composition (eV per formula unit) = 0.00
- energy relative to the elements, uncorrected (meV/atom) = 662.0
- E (eV/cell) = -21.44
- symmetry = P4/mmm
- M_tot (μB/f.u.) = 0.0

A geometry-optimized Ge3PtSe structure, computed with PBE. Values from VASP.

Structure (Quantum ESPRESSO input):
```
&SYSTEM
  ibrav = 0, nat = 5, ntyp = 3
/
ATOMIC_SPECIES
Ge 72.64 Ge.upf
Pt 195.08 Pt.upf
Se 78.96 Se.upf
CELL_PARAMETERS angstrom
-0.7704 -4.4199 1.9841
-0.3541 -1.9523 -4.4865
4.8318 -0.8478 -0.0124
ATOMIC_POSITIONS angstrom
Ge 2.4159 -0.4239 -0.0062
Ge -0.3852 -2.2099 0.9921
Ge -0.1770 -0.9761 -2.2433
Pt 0.0000 0.0000 0.0000
Se 1.8537 -3.6100 -1.2574
```

Values from the calculation:
- energy relative to the lowest polymorph listed for this composition (eV per formula unit) = 0.00
- energy relative to the elements, uncorrected (meV/atom) = 204.4
- E (eV/cell) = -22.36
- symmetry = Pm-3m
- M_tot (μB/f.u.) = 0.0

A geometry-optimized In3PbSe structure, computed with PBE. Values from VASP.

Structure (Quantum ESPRESSO input):
```
&SYSTEM
  ibrav = 0, nat = 5, ntyp = 3
/
ATOMIC_SPECIES
Se 78.96 Se.upf
In 114.82 In.upf
Pb 207.20 Pb.upf
CELL_PARAMETERS angstrom
5.5328 0.0000 0.0000
0.0000 5.5328 0.0000
0.0000 0.0000 5.5328
ATOMIC_POSITIONS angstrom
Se 0.0000 0.0000 0.0000
In 2.7664 0.0000 0.0000
In 0.0000 0.0000 2.7664
In 0.0000 2.7664 0.0000
Pb 2.7664 2.7664 2.7664
```

Values from the calculation:
- energy relative to the lowest polymorph listed for this composition (eV per formula unit) = 0.00
- energy relative to the elements, uncorrected (meV/atom) = 280.7
- E (eV/cell) = -14.00
- symmetry = Pm-3m
- M_tot (μB/f.u.) = 0.0